SbAsCl2 at its PBEsol-relaxed geometry. Source: the Alexandria database, functional SCAN.

a b c (Å): 4.824 4.824 4.824
angles (deg): 60.00 60.00 60.00
Element x y z (fractional)
Sb (0.250, 0.250, 0.250)
As (0.500, 0.500, 0.500)
Cl (0.000, 0.000, 0.000)
Cl (0.750, 0.750, 0.750)

Results
**Formation energy from raw total energies**: -16 meV/atom
**V**: 79 Å³ per cell
**E_tot**: -73.47 eV/cell
**Size of the total moment**: 0.0 μB per formula unit
**ΔE to the lowest computed polymorph**: 0.0000 eV/atom



Hg3MoC at its PBEsol-relaxed geometry. Source: the Alexandria database, functional SCAN.

a b c (Å): 5.366 5.366 5.366
angles (deg): 90.00 90.00 90.00
Element x y z (fractional)
C (0.500, 0.500, 0.500)
Mo (0.000, 0.000, 0.000)
Hg (0.000, 0.500, 0.000)
Hg (0.000, 0.000, 0.500)
Hg (0.500, 0.000, 0.000)

Results
**V**: 155 Å³ per cell
**E_tot**: -238.84 eV/cell
**Size of the total moment**: 6.4 μB per formula unit



HgRu2RhBr at its PBEsol-relaxed geometry. Source: the Alexandria database, functional SCAN.

a b c (Å): 4.813 4.670 4.670
angles (deg): 90.00 90.00 90.00
Element x y z (fractional)
Ru (0.000, 0.000, 0.500)
Ru (0.000, 0.500, 0.000)
Rh (0.000, 0.000, 0.000)
Hg (0.500, 0.500, 0.500)
Br (0.500, 0.000, 0.000)

Results
**Formation energy from raw total energies**: 1454 meV/atom
**V**: 105 Å³ per cell
**E_tot**: -183.78 eV/cell
**Size of the total moment**: 4.1 μB per formula unit